VASP calculation (PBE) on a relaxed Y2TaSi3Pt4 crystal.

Cell: 4.1573 4.1573 10.5137 Å, 90.00 90.00 90.00°
Closest atoms and distances in Å follow each position.
Fractional positions:
Pt: 0.5000 0.5000 0.0000  4 Si 2.51
Pt: 0.0000 0.0000 0.0000  4 Si 2.51
Pt: 0.0000 0.5000 0.3580  3 Si 2.36-2.56, 2 Ta 2.56
Pt: 0.5000 0.0000 0.6420  3 Si 2.36-2.56, 2 Ta 2.56
Si: 0.0000 0.0000 0.5000  4 Pt 2.56
Si: 0.5000 0.0000 0.8667  5 Pt 2.36-2.51
Si: 0.0000 0.5000 0.1333  5 Pt 2.36-2.51
Y: 0.0000 0.5000 0.7637  6 Si 3.13-3.46, 8 Pt 3.21-3.24, 2 Ta 3.46
Y: 0.5000 0.0000 0.2363  6 Si 3.13-3.46, 8 Pt 3.21-3.24, 2 Ta 3.46
Ta: 0.5000 0.5000 0.5000  4 Pt 2.56

Values from the calculation:
Magnetization, μB per cell: 0.00
Uncorrected formation energy, kcal/mol of atoms: -23.14
Crystal system: tetragonal